# PBE CuPtW2, optimized geometry
data_CuPtW2
_chemical_formula_sum 'Cu1 Pt1 W2'
_cell_length_a 2.743
_cell_length_b 2.743
_cell_length_c 7.883
_cell_angle_alpha 90.00
_cell_angle_beta 90.00
_cell_angle_gamma 90.00
_symmetry_space_group_name_H-M 'P 1'
_symmetry_Int_Tables_number 1
_symmetry_space_group_name_Hall 'P 1'
loop_
_atom_site_label
_atom_site_type_symbol
_atom_site_fract_x
_atom_site_fract_y
_atom_site_fract_z
_atom_site_occupancy
Cu1 Cu 0.000 0.000 0.000 1
Pt1 Pt 0.000 0.000 0.500 1
W1 W 0.500 0.500 0.235 1
W2 W 0.500 0.500 0.765 1
# ΔE_f ... 0.087 eV/atom
# Raw total energy ... -8.924 eV per atom
# Calculated density ... 17.5 g/cm3
# Energy above the most stable polymorph in this dataset ... 73 meV/atom
# V ... 59.3 Å³/f.u.
# Symmetry ... P4/mmm

***

# PBE Cu2PtW, optimized geometry
data_Cu2PtW
_chemical_formula_sum 'Cu6 Pt3 W3'
_cell_length_a 2.760
_cell_length_b 2.760
_cell_length_c 25.911
_cell_angle_alpha 90.00
_cell_angle_beta 90.00
_cell_angle_gamma 120.00
_symmetry_space_group_name_H-M 'P 1'
_symmetry_Int_Tables_number 1
_symmetry_space_group_name_Hall 'P 1'
loop_
_atom_site_label
_atom_site_type_symbol
_atom_site_fract_x
_atom_site_fract_y
_atom_site_fract_z
_atom_site_occupancy
Cu1 Cu 0.000 0.000 0.000 1
Cu2 Cu 0.000 0.000 0.257 1
Cu3 Cu 0.333 0.667 0.667 1
Cu4 Cu 0.333 0.667 0.924 1
Cu5 Cu 0.667 0.333 0.333 1
Cu6 Cu 0.667 0.333 0.591 1
Pt1 Pt 0.000 0.000 0.506 1
Pt2 Pt 0.333 0.667 0.173 1
Pt3 Pt 0.667 0.333 0.839 1
W1 W 0.000 0.000 0.752 1
W2 W 0.333 0.667 0.419 1
W3 W 0.667 0.333 0.085 1
# ΔE_f ... 0.062 eV/atom
# Raw total energy ... -6.735 eV per atom
# Calculated density ... 14.8 g/cm3
# V ... 57.0 Å³/f.u.
# Symmetry ... R3m

***

# PBE CuPt9W2, optimized geometry
data_CuPt9W2
_chemical_formula_sum 'Cu1 Pt9 W2'
_cell_length_a 3.970
_cell_length_b 3.970
_cell_length_c 11.759
_cell_angle_alpha 90.00
_cell_angle_beta 90.00
_cell_angle_gamma 90.00
_symmetry_space_group_name_H-M 'P 1'
_symmetry_Int_Tables_number 1
_symmetry_space_group_name_Hall 'P 1'
loop_
_atom_site_label
_atom_site_type_symbol
_atom_site_fract_x
_atom_site_fract_y
_atom_site_fract_z
_atom_site_occupancy
Cu1 Cu 0.000 0.000 0.000 1
Pt1 Pt 0.000 0.500 0.168 1
Pt2 Pt 0.000 0.500 0.500 1
Pt3 Pt 0.000 0.500 0.832 1
Pt4 Pt 0.500 0.000 0.168 1
Pt5 Pt 0.500 0.000 0.500 1
Pt6 Pt 0.500 0.000 0.832 1
Pt7 Pt 0.500 0.500 0.000 1
Pt8 Pt 0.500 0.500 0.334 1
Pt9 Pt 0.500 0.500 0.666 1
W1 W 0.000 0.000 0.323 1
W2 W 0.000 0.000 0.677 1
# ΔE_f ... -0.198 eV/atom
# Raw total energy ... -7.229 eV per atom
# Calculated density ... 19.6 g/cm3
# V ... 185.3 Å³/f.u.
# Symmetry ... P4/mmm

***

# PBE Cu2PtW, optimized geometry
data_Cu2PtW
_chemical_formula_sum 'Cu4 Pt2 W2'
_cell_length_a 2.695
_cell_length_b 4.706
_cell_length_c 9.167
_cell_angle_alpha 90.00
_cell_angle_beta 90.00
_cell_angle_gamma 90.00
_symmetry_space_group_name_H-M 'P 1'
_symmetry_Int_Tables_number 1
_symmetry_space_group_name_Hall 'P 1'
loop_
_atom_site_label
_atom_site_type_symbol
_atom_site_fract_x
_atom_site_fract_y
_atom_site_fract_z
_atom_site_occupancy
Cu1 Cu 0.000 0.000 0.249 1
Cu2 Cu 0.000 0.000 0.751 1
Cu3 Cu 0.500 0.500 0.251 1
Cu4 Cu 0.500 0.500 0.749 1
Pt1 Pt 0.000 0.500 0.500 1
Pt2 Pt 0.500 0.000 0.000 1
W1 W 0.000 0.500 0.000 1
W2 W 0.500 0.000 0.500 1
# ΔE_f ... 0.185 eV/atom
# Raw total energy ... -6.612 eV per atom
# Calculated density ... 14.5 g/cm3
# V ... 58.1 Å³/f.u.
# Symmetry ... Immm

***

# PBE CuPtW, optimized geometry
data_CuPtW
_chemical_formula_sum 'Cu4 Pt4 W4'
_cell_length_a 2.671
_cell_length_b 5.101
_cell_length_c 13.898
_cell_angle_alpha 90.00
_cell_angle_beta 90.00
_cell_angle_gamma 90.00
_symmetry_space_group_name_H-M 'P 1'
_symmetry_Int_Tables_number 1
_symmetry_space_group_name_Hall 'P 1'
loop_
_atom_site_label
_atom_site_type_symbol
_atom_site_fract_x
_atom_site_fract_y
_atom_site_fract_z
_atom_site_occupancy
Cu1 Cu 0.000 0.000 0.144 1
Cu2 Cu 0.000 0.000 0.856 1
Cu3 Cu 0.500 0.500 0.356 1
Cu4 Cu 0.500 0.500 0.644 1
Pt1 Pt 0.000 0.000 0.332 1
Pt2 Pt 0.000 0.000 0.668 1
Pt3 Pt 0.500 0.500 0.168 1
Pt4 Pt 0.500 0.500 0.832 1
W1 W 0.000 0.250 0.500 1
W2 W 0.000 0.750 0.500 1
W3 W 0.500 0.250 0.000 1
W4 W 0.500 0.750 0.000 1
# ΔE_f ... 0.302 eV/atom
# Raw total energy ... -7.394 eV per atom
# Calculated density ... 15.5 g/cm3
# Energy above the most stable polymorph in this dataset ... 459 meV/atom
# V ... 47.3 Å³/f.u.
# Symmetry ... Immm

***

# PBE Cu2PtW, optimized geometry
data_Cu2PtW
_chemical_formula_sum 'Cu4 Pt2 W2'
_cell_length_a 3.965
_cell_length_b 3.965
_cell_length_c 7.126
_cell_angle_alpha 90.00
_cell_angle_beta 90.00
_cell_angle_gamma 90.00
_symmetry_space_group_name_H-M 'P 1'
_symmetry_Int_Tables_number 1
_symmetry_space_group_name_Hall 'P 1'
loop_
_atom_site_label
_atom_site_type_symbol
_atom_site_fract_x
_atom_site_fract_y
_atom_site_fract_z
_atom_site_occupancy
Cu1 Cu 0.000 0.000 0.000 1
Cu2 Cu 0.000 0.500 0.250 1
Cu3 Cu 0.500 0.000 0.750 1
Cu4 Cu 0.500 0.500 0.500 1
Pt1 Pt 0.000 0.500 0.750 1
Pt2 Pt 0.500 0.000 0.250 1
W1 W 0.000 0.000 0.500 1
W2 W 0.500 0.500 0.000 1
# ΔE_f ... 0.087 eV/atom
# Raw total energy ... -6.710 eV per atom
# Calculated density ... 15.0 g/cm3
# V ... 56.0 Å³/f.u.
# Symmetry ... I-4m2

***

# PBE CuPtW, optimized geometry
data_CuPtW
_chemical_formula_sum 'Cu1 Pt1 W1'
_cell_length_a 4.327
_cell_length_b 4.327
_cell_length_c 2.680
_cell_angle_alpha 90.00
_cell_angle_beta 90.00
_cell_angle_gamma 120.00
_symmetry_space_group_name_H-M 'P 1'
_symmetry_Int_Tables_number 1
_symmetry_space_group_name_Hall 'P 1'
loop_
_atom_site_label
_atom_site_type_symbol
_atom_site_fract_x
_atom_site_fract_y
_atom_site_fract_z
_atom_site_occupancy
Cu1 Cu 0.000 0.000 0.000 1
Pt1 Pt 0.667 0.333 0.000 1
W1 W 0.333 0.667 0.500 1
# ΔE_f ... -0.055 eV/atom
# Raw total energy ... -7.752 eV per atom
# Calculated density ... 16.9 g/cm3
# Energy above the most stable polymorph in this dataset ... 102 meV/atom
# V ... 43.4 Å³/f.u.
# Symmetry ... P-6m2

***

# PBE Cu2Pt5W, optimized geometry
data_Cu2Pt5W
_chemical_formula_sum 'Cu4 Pt10 W2'
_cell_length_a 3.973
_cell_length_b 3.973
_cell_length_c 15.013
_cell_angle_alpha 90.00
_cell_angle_beta 90.00
_cell_angle_gamma 90.00
_symmetry_space_group_name_H-M 'P 1'
_symmetry_Int_Tables_number 1
_symmetry_space_group_name_Hall 'P 1'
loop_
_atom_site_label
_atom_site_type_symbol
_atom_site_fract_x
_atom_site_fract_y
_atom_site_fract_z
_atom_site_occupancy
Cu1 Cu 0.000 0.000 0.248 1
Cu2 Cu 0.000 0.000 0.752 1
Cu3 Cu 0.500 0.500 0.252 1
Cu4 Cu 0.500 0.500 0.748 1
Pt1 Pt 0.000 0.000 0.000 1
Pt2 Pt 0.000 0.500 0.128 1
Pt3 Pt 0.000 0.500 0.372 1
Pt4 Pt 0.000 0.500 0.628 1
Pt5 Pt 0.000 0.500 0.872 1
Pt6 Pt 0.500 0.000 0.128 1
Pt7 Pt 0.500 0.000 0.372 1
Pt8 Pt 0.500 0.000 0.628 1
Pt9 Pt 0.500 0.000 0.872 1
Pt10 Pt 0.500 0.500 0.500 1
W1 W 0.000 0.000 0.500 1
W2 W 0.500 0.500 0.000 1
# ΔE_f ... -0.206 eV/atom
# Raw total energy ... -6.625 eV per atom
# Calculated density ... 18.0 g/cm3
# V ... 118.5 Å³/f.u.
# Symmetry ... I4/mmm

***

# PBE Cu2PtW, optimized geometry
data_Cu2PtW
_chemical_formula_sum 'Cu2 Pt1 W1'
_cell_length_a 2.659
_cell_length_b 4.448
_cell_length_c 4.849
_cell_angle_alpha 90.00
_cell_angle_beta 93.19
_cell_angle_gamma 90.00
_symmetry_space_group_name_H-M 'P 1'
_symmetry_Int_Tables_number 1
_symmetry_space_group_name_Hall 'P 1'
loop_
_atom_site_label
_atom_site_type_symbol
_atom_site_fract_x
_atom_site_fract_y
_atom_site_fract_z
_atom_site_occupancy
Cu1 Cu 0.165 0.000 0.240 1
Cu2 Cu 0.835 0.000 0.760 1
Pt1 Pt 0.000 0.500 0.500 1
W1 W 0.500 0.500 0.000 1
# ΔE_f ... 0.119 eV/atom
# Raw total energy ... -6.678 eV per atom
# Calculated density ... 14.7 g/cm3
# V ... 57.3 Å³/f.u.
# Symmetry ... P2/m

***

# PBE Cu2PtW, optimized geometry
data_Cu2PtW
_chemical_formula_sum 'Cu2 Pt1 W1'
_cell_length_a 2.712
_cell_length_b 3.904
_cell_length_c 5.360
_cell_angle_alpha 90.00
_cell_angle_beta 90.00
_cell_angle_gamma 90.00
_symmetry_space_group_name_H-M 'P 1'
_symmetry_Int_Tables_number 1
_symmetry_space_group_name_Hall 'P 1'
loop_
_atom_site_label
_atom_site_type_symbol
_atom_site_fract_x
_atom_site_fract_y
_atom_site_fract_z
_atom_site_occupancy
Cu1 Cu 0.000 0.000 0.000 1
Cu2 Cu 0.500 0.500 0.217 1
Pt1 Pt 0.000 0.000 0.496 1
W1 W 0.500 0.500 0.727 1
# ΔE_f ... 0.057 eV/atom
# Raw total energy ... -6.739 eV per atom
# Calculated density ... 14.8 g/cm3
# V ... 56.7 Å³/f.u.
# Symmetry ... Pmm2

***

# PBE CuPt3W, optimized geometry
data_CuPt3W
_chemical_formula_sum 'Cu1 Pt3 W1'
_cell_length_a 4.501
_cell_length_b 4.501
_cell_length_c 4.501
_cell_angle_alpha 90.00
_cell_angle_beta 90.00
_cell_angle_gamma 90.00
_symmetry_space_group_name_H-M 'P 1'
_symmetry_Int_Tables_number 1
_symmetry_space_group_name_Hall 'P 1'
loop_
_atom_site_label
_atom_site_type_symbol
_atom_site_fract_x
_atom_site_fract_y
_atom_site_fract_z
_atom_site_occupancy
Cu1 Cu 0.000 0.000 0.000 1
Pt1 Pt 0.000 0.000 0.500 1
Pt2 Pt 0.000 0.500 0.000 1
Pt3 Pt 0.500 0.000 0.000 1
W1 W 0.500 0.500 0.500 1
# ΔE_f ... 1.313 eV/atom
# Raw total energy ... -5.721 eV per atom
# Calculated density ... 15.2 g/cm3
# Energy above the most stable polymorph in this dataset ... 1135 meV/atom
# V ... 91.2 Å³/f.u.
# Symmetry ... Pm-3m

***

# PBE CuPtW, optimized geometry
data_CuPtW
_chemical_formula_sum 'Cu4 Pt4 W4'
_cell_length_a 5.956
_cell_length_b 5.956
_cell_length_c 5.956
_cell_angle_alpha 90.00
_cell_angle_beta 90.00
_cell_angle_gamma 90.00
_symmetry_space_group_name_H-M 'P 1'
_symmetry_Int_Tables_number 1
_symmetry_space_group_name_Hall 'P 1'
loop_
_atom_site_label
_atom_site_type_symbol
_atom_site_fract_x
_atom_site_fract_y
_atom_site_fract_z
_atom_site_occupancy
Cu1 Cu 0.000 0.000 0.000 1
Cu2 Cu 0.000 0.500 0.500 1
Cu3 Cu 0.500 0.000 0.500 1
Cu4 Cu 0.500 0.500 0.000 1
Pt1 Pt 0.000 0.000 0.500 1
Pt2 Pt 0.000 0.500 0.000 1
Pt3 Pt 0.500 0.000 0.000 1
Pt4 Pt 0.500 0.500 0.500 1
W1 W 0.250 0.250 0.250 1
W2 W 0.250 0.750 0.750 1
W3 W 0.750 0.250 0.750 1
W4 W 0.750 0.750 0.250 1
# ΔE_f ... 0.593 eV/atom
# Raw total energy ... -7.104 eV per atom
# Calculated density ... 13.9 g/cm3
# Energy above the most stable polymorph in this dataset ... 750 meV/atom
# V ... 52.8 Å³/f.u.
# Symmetry ... F-43m

***

What is the V in the ninth record? 57.3 Å³/f.u.

***

raw total energy of number 12 (CuPtW)? -7.104 eV per atom

***

What is the formula in the twelfth record? CuPtW